A geometry-optimized NdSm8Tm2 structure, computed with PBE. Values from VASP.

ρ = 7.3 g/cm3
E_form = 0.147 eV per atom
Space-group type = C2/m (12)
Final energy = -4.53 eV per atom
E above lowest polymorph = 3 meV/atom

```
&SYSTEM
  ibrav = 0, nat = 11, ntyp = 3
/
ATOMIC_SPECIES
Nd 144.24 Nd.upf
Sm 150.36 Sm.upf
Tm 168.93 Tm.upf
CELL_PARAMETERS angstrom
-2.849 -3.799 -3.018
9.129 -3.504 -3.211
7.244 -6.792 2.705
ATOMIC_POSITIONS crystal
Nd 0.000 0.000 0.000
Sm 0.268 0.134 0.598
Sm 0.268 0.598 0.134
Sm 0.732 0.866 0.402
Sm 0.238 0.545 0.545
Sm 0.732 0.402 0.866
Sm 0.231 0.189 0.189
Sm 0.769 0.811 0.811
Sm 0.762 0.455 0.455
Tm 0.747 0.285 0.285
Tm 0.253 0.715 0.715
```